The following is a DFT calculation (PBE) of an optimized crystal structure of TaRh3F.

## Properties
- energy relative to the elements, uncorrected (kJ/mol of atoms) = 39
- magnetization (μB per formula unit) = 0.0
- crystal system = cubic
- ΔE to the lowest computed polymorph (kJ per mole of atoms) = 0.0

a b c (Å): 4.216 4.216 4.216
angles (deg): 90.00 90.00 90.00
Fractional positions:
F1 0.000 0.000 0.000
Rh1 0.500 0.000 0.000
Rh2 0.000 0.000 0.500
Ta1 0.500 0.500 0.500
Rh3 0.000 0.500 0.000